Model w:
First-principles (PBE) data for a relaxed structure of NaMoSeN2, as listed in Alexandria.

Its density is 4.57 g/cm³. The value obtained for the size of the total moment is 0.5 μB per cell.

a = 3.949 Å, b = 3.949 Å, c = 5.269 Å
α = 90.00°, β = 90.00°, γ = 90.00°
Element x y z (fractional)
1 Na 0.500 0.500 0.500
2 Mo 0.000 0.000 0.000
3 Se 0.000 0.000 0.500
4 N 0.000 0.500 0.000
5 N 0.500 0.000 0.000

---

Model x:
First-principles (PBE) data for a relaxed structure of NaMoSeN2, as listed in Alexandria.

Its density is 4.90 g/cm³. The value obtained for the size of the total moment is 0.2 μB per cell.

a = 3.970 Å, b = 3.970 Å, c = 4.860 Å
α = 90.00°, β = 90.00°, γ = 90.00°
Element x y z (fractional)
1 Na 0.000 0.000 0.000
2 Mo 0.500 0.500 0.500
3 Se 0.000 0.000 0.500
4 N 0.000 0.500 0.000
5 N 0.500 0.000 0.000

---

Stability comparison, relative energies in kJ/mol of atoms: model w 0.0; model x 231.3

---

Model w:
First-principles (PBE) data for a relaxed structure of NbMoS2N, as listed in Alexandria.

Its density is 5.11 g/cm³. The value obtained for the size of the total moment is 2.5 μB per cell.

a = 4.810 Å, b = 4.810 Å, c = 3.749 Å
α = 90.00°, β = 90.00°, γ = 90.00°
Element x y z (fractional)
1 S 0.000 0.500 0.000
2 S 0.500 0.000 0.000
3 Mo 0.000 0.000 0.000
4 Nb 0.500 0.500 0.500
5 N 0.000 0.000 0.500

---

Model x:
First-principles (PBE) data for a relaxed structure of NbMoS2N, as listed in Alexandria.

Its density is 4.73 g/cm³. The value obtained for the size of the total moment is 3.9 μB per cell.

a = 4.922 Å, b = 4.922 Å, c = 3.872 Å
α = 90.00°, β = 90.00°, γ = 90.00°
Element x y z (fractional)
1 S 0.000 0.500 0.000
2 S 0.500 0.000 0.000
3 Mo 0.500 0.500 0.500
4 Nb 0.000 0.000 0.000
5 N 0.000 0.000 0.500

---

Stability comparison, relative energies in kJ/mol of atoms: model w 0.0; model x 8.6

---

Model w:
First-principles (PBE) data for a relaxed structure of Nb2SnMoN, as listed in Alexandria.

Its density is 8.76 g/cm³. The value obtained for the size of the total moment is 0.0 μB per cell.

a = 4.307 Å, b = 4.307 Å, c = 4.236 Å
α = 90.00°, β = 90.00°, γ = 90.00°
Element x y z (fractional)
1 Mo 0.000 0.000 0.500
2 Sn 0.500 0.500 0.500
3 Nb 0.000 0.500 0.000
4 Nb 0.500 0.000 0.000
5 N 0.000 0.000 0.000

---

Model x:
First-principles (PBE) data for a relaxed structure of Nb2SnMoN, as listed in Alexandria.

Its density is 5.50 g/cm³. The value obtained for the size of the total moment is 0.4 μB per cell.

a = 5.066 Å, b = 4.879 Å, c = 5.066 Å
α = 90.00°, β = 90.00°, γ = 90.00°
Element x y z (fractional)
1 Mo 0.000 0.500 0.000
2 Sn 0.000 0.000 0.000
3 Nb 0.000 0.000 0.500
4 Nb 0.500 0.000 0.000
5 N 0.500 0.500 0.500

---

Stability comparison, relative energies in kJ/mol of atoms: model w 0.0; model x 329.7

---

Model w:
First-principles (PBE) data for a relaxed structure of Nd2MoN4, as listed in Alexandria.

Its density is 6.32 g/cm³. The value obtained for the size of the total moment is 0.0 μB per cell.

a = 5.929 Å, b = 5.959 Å, c = 6.915 Å
α = 90.00°, β = 108.64°, γ = 90.00°
Element x y z (fractional)
1 Nd 0.682 0.750 0.028
2 Nd 0.318 0.250 0.972
3 Nd 0.234 0.250 0.439
4 Nd 0.766 0.750 0.561
5 Mo 0.235 0.750 0.194
6 Mo 0.765 0.250 0.806
7 N 0.454 0.508 0.255
8 N 0.053 0.750 0.922
9 N 0.947 0.250 0.078
10 N 0.454 0.992 0.255
11 N 0.971 0.250 0.652
12 N 0.546 0.008 0.745
13 N 0.546 0.492 0.745
14 N 0.029 0.750 0.348

---

Model x:
First-principles (PBE) data for a relaxed structure of Nd2MoN4, as listed in Alexandria.

Its density is 7.43 g/cm³. The value obtained for the size of the total moment is 0.0 μB per cell.

a = 3.956 Å, b = 3.956 Å, c = 6.887 Å
α = 73.31°, β = 73.31°, γ = 90.00°
Element x y z (fractional)
1 Mo 0.000 0.000 0.000
2 Nd 0.645 0.645 0.711
3 Nd 0.355 0.355 0.289
4 N 0.834 0.834 0.333
5 N 0.166 0.166 0.667
6 N 0.000 0.500 0.000
7 N 0.500 0.000 0.000

---

Stability comparison, relative energies in kJ/mol of atoms: model w 0.0; model x 4.9